# La2Al3Pd PBE optimized geometry
data_La2Al3Pd
_chemical_formula_sum 'La2 Al3 Pd1'
_symmetry_space_group_name_H-M 'P 1'
_symmetry_Int_Tables_number 1
_cell_length_a 5.736
_cell_length_b 5.736
_cell_length_c 5.628
_cell_angle_alpha 89.87
_cell_angle_beta 120.69
_cell_angle_gamma 120.11
loop_
_symmetry_equiv_pos_as_xyz
'x,y,z'
loop_
_atom_site_label
_atom_site_fract_x
_atom_site_fract_y
_atom_site_fract_z
Al1 0.000 0.000 0.500
Al2 0.500 0.500 0.500
Pd1 0.000 0.000 0.000
Al3 0.500 0.000 0.500
La1 0.757 0.378 0.135
La2 0.243 0.622 0.865
# **Total moment**: 0.00 μB/atom
# **Calculated formation energy**: -0.64 eV/atom
# **N(E_F)**: 0.56 states/eV per atom